(1)
ZrTa4: relaxed, PBE.

Unit cell a=3.3425 b=5.6115 c=5.6115 alpha=95.09 beta=107.33 gamma=72.67
Atoms (fractional coordinates):
Ta (0.8124, 0.7941, 0.4189)
Ta (0.1876, 0.2059, 0.5811)
Ta (0.3935, 0.4189, 0.2059)
Ta (0.6065, 0.5811, 0.7941)
Zr (0.0000, 0.0000, 0.0000)

VASP energy   -11.1157 eV/atom
N(E_F)   8.22 states/eV/f.u.
Energy relative to the elements   0.380 eV/f.u.
Volume   95.9 Å³/f.u.
E above lowest polymorph   0 meV/atom



(2)
SrTaW: relaxed, PBE.

Unit cell a=8.3489 b=8.3489 c=8.3489 alpha=160.50 beta=160.50 gamma=27.72
Atoms (fractional coordinates):
Ta (0.3165, 0.3165, 0.0000)
W (0.6783, 0.6783, 0.0000)
Sr (0.0052, 0.0052, 0.0000)

VASP energy   -7.7946 eV/atom
N(E_F)   3.64 states/eV/f.u.
Energy relative to the elements   3.104 eV/f.u.
Volume   64.8 Å³/f.u.
E above lowest polymorph   344 meV/atom



(3)
LiGa: relaxed, PBE.

Unit cell a=2.7345 b=2.7345 c=4.2179 alpha=90.00 beta=90.00 gamma=90.00
Atoms (fractional coordinates):
Ga (0.5000, 0.5000, 0.5000)
Li (0.0000, 0.0000, 0.0000)

VASP energy   -2.7366 eV/atom
N(E_F)   0.55 states/eV/f.u.
Energy relative to the elements   -0.533 eV/f.u.
Volume   31.5 Å³/f.u.



(4)
K3Fe5I12: relaxed, PBE.

Unit cell a=15.7086 b=15.7086 c=15.7086 alpha=109.47 beta=109.47 gamma=109.47
Site moments in Bohr magnetons follow the coordinates.
Atoms (fractional coordinates):
I (0.6967, 0.1106, 0.0153)  0.09
I (0.0861, 0.1814, 0.1967)  0.09
I (0.0953, 0.9139, 0.1106)  0.09
I (0.4847, 0.6814, 0.0953)  0.09
I (0.5861, 0.6967, 0.6814)  0.09
I (0.8186, 0.9139, 0.3033)  0.09
I (0.5153, 0.1967, 0.1106)  0.09
I (0.3186, 0.5153, 0.4047)  0.09
I (0.5153, 0.3186, 0.9047)  0.09
I (0.6106, 0.5953, 0.9139)  0.09
I (0.3033, 0.4139, 0.8186)  0.09
I (0.4047, 0.3894, 0.5861)  0.09
I (0.3894, 0.4047, 0.0861)  0.09
I (0.6814, 0.1967, 0.5861)  0.09
I (0.8894, 0.5861, 0.9047)  0.09
I (0.1814, 0.0953, 0.9847)  0.09
I (0.9047, 0.0861, 0.8894)  0.09
I (0.3186, 0.8033, 0.4139)  0.09
I (0.5861, 0.8894, 0.4047)  0.09
I (0.9047, 0.8186, 0.5153)  0.09
I (0.8186, 0.9047, 0.0153)  0.09
I (0.4139, 0.3033, 0.3186)  0.09
I (0.1106, 0.4139, 0.0953)  0.09
I (0.3033, 0.8894, 0.9847)  0.09
I (0.5953, 0.6106, 0.4139)  0.09
I (0.1814, 0.0861, 0.6967)  0.09
I (0.9139, 0.8186, 0.8033)  0.09
I (0.0153, 0.4047, 0.8186)  0.09
I (0.9847, 0.5953, 0.1814)  0.09
I (0.4847, 0.8033, 0.8894)  0.09
I (0.3894, 0.9847, 0.8033)  0.09
I (0.1967, 0.5153, 0.6106)  0.09
I (0.0953, 0.1814, 0.4847)  0.09
I (0.6967, 0.5861, 0.1814)  0.09
I (0.1967, 0.6814, 0.0861)  0.09
I (0.8033, 0.3186, 0.9139)  0.09
I (0.0861, 0.9047, 0.3894)  0.09
I (0.9847, 0.3894, 0.3033)  0.09
I (0.8894, 0.3033, 0.4847)  0.09
I (0.4047, 0.0153, 0.3186)  0.09
I (0.1106, 0.6967, 0.5153)  0.09
I (0.6814, 0.4847, 0.5953)  0.09
I (0.8033, 0.4847, 0.3894)  0.09
I (0.6106, 0.0153, 0.1967)  0.09
I (0.0153, 0.6106, 0.6967)  0.09
I (0.4139, 0.1106, 0.5953)  0.09
I (0.9139, 0.0953, 0.6106)  0.09
I (0.5953, 0.9847, 0.6814)  0.09
Fe (0.7500, 0.1250, 0.8750)  3.24
Fe (0.7500, 0.6250, 0.3750)  3.24
Fe (0.0000, 0.0000, 0.5000)  3.29
Fe (0.0000, 0.0000, 0.0000)  3.29
Fe (0.1250, 0.3750, 0.2500)  3.24
Fe (0.6250, 0.8750, 0.2500)  3.24
Fe (0.3750, 0.1250, 0.7500)  3.24
Fe (0.6250, 0.7500, 0.8750)  3.24
Fe (0.8750, 0.2500, 0.6250)  3.24
Fe (0.3750, 0.2500, 0.1250)  3.24
Fe (0.0000, 0.5000, 0.5000)  3.29
Fe (0.8750, 0.6250, 0.7500)  3.24
Fe (0.2500, 0.8750, 0.1250)  3.24
Fe (0.0000, 0.5000, 0.0000)  3.29
Fe (0.5000, 0.0000, 0.0000)  3.29
Fe (0.5000, 0.5000, 0.0000)  3.29
Fe (0.5000, 0.5000, 0.5000)  3.29
Fe (0.1250, 0.7500, 0.3750)  3.24
Fe (0.5000, 0.0000, 0.5000)  3.29
Fe (0.2500, 0.3750, 0.6250)  3.24
K (0.7500, 0.3750, 0.1250)  0.00
K (0.2500, 0.6250, 0.8750)  0.00
K (0.6250, 0.2500, 0.3750)  0.00
K (0.3750, 0.6250, 0.2500)  0.00
K (0.7500, 0.8750, 0.6250)  0.00
K (0.3750, 0.7500, 0.6250)  0.00
K (0.1250, 0.2500, 0.8750)  0.00
K (0.6250, 0.3750, 0.7500)  0.00
K (0.2500, 0.1250, 0.3750)  0.00
K (0.8750, 0.1250, 0.2500)  0.00
K (0.1250, 0.8750, 0.7500)  0.00
K (0.8750, 0.7500, 0.1250)  0.00

VASP energy   -3.6362 eV/atom
N(E_F)   24.50 states/eV/f.u.
Uncorrected formation energy   -0.43 eV per atom
Volume   746.0 Å³/f.u.



(5)
TlFe4Ir: relaxed, PBE.

Unit cell a=4.9174 b=4.9174 c=4.9174 alpha=60.00 beta=60.00 gamma=60.00
Site moments in Bohr magnetons follow the coordinates.
Atoms (fractional coordinates):
Fe (0.8747, 0.3751, 0.3751)  2.63
Fe (0.3751, 0.3751, 0.3751)  2.63
Fe (0.3751, 0.8747, 0.3751)  2.63
Fe (0.3751, 0.3751, 0.8747)  2.63
Tl (0.0000, 0.0000, 0.0000)  -0.06
Ir (0.7500, 0.7500, 0.7500)  0.70

VASP energy   -7.2403 eV/atom
N(E_F)   3.93 states/eV/f.u.
Energy relative to the elements   1.636 eV/f.u.
Volume   84.1 Å³/f.u.



(6)
Tl2FeSi: relaxed, PBE.

Unit cell a=5.4178 b=5.4178 c=5.4178 alpha=138.55 beta=125.27 gamma=70.91
Site moments in Bohr magnetons follow the coordinates.
Atoms (fractional coordinates):
Tl (0.0092, 0.0092, 0.0000)  -0.03
Tl (0.4908, 0.4908, 0.0000)  -0.03
Fe (0.2500, 0.7500, 0.5000)  2.80
Si (0.7500, 0.2500, 0.5000)  -0.02

VASP energy   -3.8930 eV/atom
N(E_F)   4.45 states/eV/f.u.
Uncorrected formation energy   0.76 eV per atom
Volume   84.3 Å³/f.u.
E above lowest polymorph   528 meV/atom



(7)
Ce5Pu2Ir5: relaxed, PBE.

Unit cell a=3.9616 b=6.9633 c=11.8598 alpha=104.89 beta=90.00 gamma=106.53
Site moments in Bohr magnetons follow the coordinates.
Atoms (fractional coordinates):
Ce (0.6552, 0.3103, 0.0520)  0.50
Ce (0.2636, 0.5273, 0.6471)  0.58
Ce (0.3448, 0.6897, 0.9480)  0.50
Ce (0.7364, 0.4727, 0.3529)  0.58
Ce (0.5000, 0.0000, 0.5000)  0.39
Pu (0.9575, 0.9149, 0.2168)  5.11
Pu (0.0425, 0.0851, 0.7832)  5.11
Ir (0.1159, 0.2318, 0.4272)  -0.08
Ir (0.6969, 0.3939, 0.8125)  -0.14
Ir (0.8841, 0.7682, 0.5728)  -0.08
Ir (0.3031, 0.6061, 0.1875)  -0.14
Ir (0.0000, 0.0000, 0.0000)  -0.14

VASP energy   -9.1173 eV/atom
N(E_F)   33.01 states/eV/f.u.
Energy relative to the elements   -6.769 eV/f.u.
Volume   302.2 Å³/f.u.



Question: Look up the volume of the first one.
Answer: 95.9 Å³/f.u.



Question: Which of these has the highest VASP energy?
Answer: LiGa